CaSe2I: optimized geometry, PBE.

## Properties
crystal system: trigonal
M_tot: 0.000 μB per atom
E_form (uncorrected): 0.231 eV/atom
space group: R-3m, No. 166
distance to the lowest polymorph of the same formula: 380.8 kJ/mol of formula units

```
CaSe2I
1.0
-3.163 4.015 8.399
-3.276 0.011 9.270
0.245 2.083 9.605
I Ca Se
1 1 2
direct
0.500 0.500 0.500
0.000 0.000 0.000
0.095 0.095 0.095
0.905 0.905 0.905
```


CaSe2I: optimized geometry, PBE.

## Properties
crystal system: cubic
M_tot: 0.306 μB per atom
E_form (uncorrected): -0.307 eV/atom
space group: Fm-3m, No. 225
distance to the lowest polymorph of the same formula: 173.2 kJ/mol of formula units

```
CaSe2I
1.0
-5.098 -1.282 0.916
-3.568 3.828 1.044
-3.745 1.212 -3.603
Ca I Se
1 1 2
direct
0.000 0.000 0.000
0.500 0.500 0.500
0.750 0.750 0.750
0.250 0.250 0.250
```


Ca4SeI5: optimized geometry, PBE.

## Properties
crystal system: monoclinic
M_tot: 0.000 μB per atom
E_form (uncorrected): -1.564 eV/atom
space group: C2/m, No. 12

```
Ca4SeI5
1.0
4.295 0.000 -0.935
-0.447 8.558 -2.054
-0.087 0.125 9.930
I Ca Se
5 4 1
direct
0.166 0.336 0.331
0.169 0.830 0.338
0.500 0.500 0.000
0.831 0.170 0.662
0.834 0.664 0.669
0.656 0.082 0.313
0.001 0.228 0.002
0.999 0.772 0.998
0.344 0.918 0.687
0.500 0.000 0.000
```


CaSe2I: optimized geometry, PBE.

## Properties
crystal system: tetragonal
M_tot: 0.000 μB per atom
E_form (uncorrected): -0.439 eV/atom
space group: I-42d, No. 122
distance to the lowest polymorph of the same formula: 122.5 kJ/mol of formula units

```
CaSe2I
1.0
5.780 0.000 0.000
0.000 5.780 0.000
2.890 2.890 8.584
Se I Ca
4 2 2
direct
0.375 0.379 0.750
0.875 0.871 0.750
0.129 0.625 0.250
0.621 0.125 0.250
0.750 0.250 0.500
0.000 0.000 0.000
0.500 0.500 0.000
0.250 0.750 0.500
```


Ca2Se2I: optimized geometry, PBE.

## Properties
crystal system: tetragonal
M_tot: 0.000 μB per atom
E_form (uncorrected): -1.280 eV/atom
space group: I4/mmm, No. 139
distance to the lowest polymorph of the same formula: 49.3 kJ/mol of formula units

```
Ca2Se2I
1.0
-0.295 -4.444 -1.525
4.509 0.161 -1.343
4.268 -4.672 5.521
Se I Ca
2 1 2
direct
0.250 0.750 0.500
0.750 0.250 0.500
0.000 0.000 0.000
0.645 0.645 0.709
0.355 0.355 0.291
```


Ca2Se2I: optimized geometry, PBE.

## Properties
crystal system: tetragonal
M_tot: 0.000 μB per atom
E_form (uncorrected): -1.382 eV/atom
space group: P4/mbm, No. 127
distance to the lowest polymorph of the same formula: 0.0 kJ/mol of formula units

```
Ca2Se2I
1.0
-7.068 4.527 0.765
-4.570 -7.071 -0.386
0.197 -0.335 3.801
Se Ca I
4 4 2
direct
0.145 0.645 0.500
0.645 0.855 0.500
0.855 0.355 0.500
0.355 0.145 0.500
0.155 0.345 0.000
0.345 0.845 0.000
0.845 0.655 0.000
0.655 0.155 0.000
0.500 0.500 0.000
0.000 0.000 0.000
```


CaSe2I: optimized geometry, PBE.

## Properties
crystal system: trigonal
M_tot: 0.000 μB per atom
E_form (uncorrected): -0.756 eV/atom
space group: R-3m, No. 166
distance to the lowest polymorph of the same formula: 0.0 kJ/mol of formula units

```
CaSe2I
1.0
2.438 -6.256 5.458
4.187 -7.425 1.485
6.271 -4.376 4.049
Se Ca I
2 1 1
direct
0.890 0.890 0.890
0.110 0.110 0.110
0.500 0.500 0.500
0.000 0.000 0.000
```


Sr2CaSe2I2: optimized geometry, PBE.

## Properties
crystal system: tetragonal
M_tot: 0.000 μB per atom
E_form (uncorrected): -1.727 eV/atom
space group: I4/mmm, No. 139

```
Sr2CaSe2I2
1.0
-3.539 0.493 4.195
-4.167 -1.300 -3.363
4.900 -7.703 1.420
Sr I Se Ca
2 2 2 1
direct
0.611 0.611 0.222
0.389 0.389 0.778
0.808 0.808 0.615
0.192 0.192 0.385
0.500 0.000 0.000
0.000 0.500 0.000
0.000 0.000 0.000
```


CaTeSeI2: optimized geometry, PBE.

## Properties
crystal system: tetragonal
M_tot: 0.000 μB per atom
E_form (uncorrected): -0.299 eV/atom
space group: P4/mmm, No. 123
distance to the lowest polymorph of the same formula: 0.0 kJ/mol of formula units

```
CaTeSeI2
1.0
5.722 0.000 0.000
0.000 5.722 0.000
0.000 0.000 5.647
Se Te Ca I
1 1 1 2
direct
0.000 0.000 0.000
0.000 0.000 0.500
0.500 0.500 0.500
0.000 0.500 0.000
0.500 0.000 0.000
```


CaTeSeI2: optimized geometry, PBE.

## Properties
crystal system: tetragonal
M_tot: 0.811 μB per atom
E_form (uncorrected): -0.078 eV/atom
space group: P4/mmm, No. 123
distance to the lowest polymorph of the same formula: 106.8 kJ/mol of formula units

```
CaTeSeI2
1.0
-4.525 0.473 -4.051
-0.854 -6.026 0.251
-4.080 0.771 4.648
Te Ca Se I
1 1 1 2
direct
0.000 0.000 0.500
0.000 0.000 0.000
0.500 0.500 0.500
0.500 0.000 0.000
0.000 0.500 0.000
```


CaTlSeI: optimized geometry, PBE.

## Properties
crystal system: trigonal
M_tot: 0.000 μB per atom
E_form (uncorrected): -1.276 eV/atom
space group: R3m, No. 160

```
CaTlSeI
1.0
-1.008 -0.585 4.235
2.875 -2.679 -1.964
6.018 6.425 0.038
I Ca Se Tl
1 1 1 1
direct
0.934 0.365 0.314
0.111 0.953 0.079
0.326 0.561 0.902
0.508 0.152 0.675
```


CaZnSeI2: optimized geometry, PBE.

## Properties
crystal system: tetragonal
M_tot: 0.000 μB per atom
E_form (uncorrected): -0.300 eV/atom
space group: P4/mmm, No. 123

```
CaZnSeI2
1.0
-5.660 0.169 2.463
-0.945 -5.018 -1.828
2.221 -2.336 5.266
I Ca Zn Se
2 1 1 1
direct
0.000 0.000 0.500
0.500 0.000 0.000
0.000 0.500 0.000
0.500 0.500 0.500
0.000 0.000 0.000
```